A relaxed structure of Dy4HC2S, computed with PBE-GGA.

Properties
Total DFT energy (no corrections), eV per atom: -6.21
Total moment, μB per formula unit: 0.0

```
data_Dy4HC2S
_space_group_name_H-M_alt 'F m m 2'
_space_group_IT_number 42
_space_group_name_Hall 'F 2 -2'
_cell_length_a 7.394
_cell_length_b 10.214
_cell_length_c 7.394
_cell_angle_alpha 90.00
_cell_angle_beta 90.00
_cell_angle_gamma 90.00
loop_
_atom_site_label
_atom_site_type_symbol
_atom_site_fract_x
_atom_site_fract_y
_atom_site_fract_z
_atom_site_occupancy
Dy1 Dy 0.000 0.246 0.000 1
Dy2 Dy 0.250 0.000 0.250 1
H1 H 0.000 0.000 0.999 1
C1 C 0.250 0.250 0.250 1
S1 S 0.000 0.000 0.500 1
```


A relaxed structure of GeH2Se, computed with PBE-GGA.

Properties
Total DFT energy (no corrections), eV per atom: -3.23
Total moment, μB per formula unit: 0.0
Energy above the most stable polymorph in this dataset, meV/atom: 585.9

```
data_GeH2Se
_space_group_name_H-M_alt 'I -4 2 d'
_space_group_IT_number 122
_space_group_name_Hall 'I -4 2bw'
_cell_length_a 5.463
_cell_length_b 5.463
_cell_length_c 7.687
_cell_angle_alpha 90.00
_cell_angle_beta 90.00
_cell_angle_gamma 90.00
loop_
_atom_site_label
_atom_site_type_symbol
_atom_site_fract_x
_atom_site_fract_y
_atom_site_fract_z
_atom_site_occupancy
Ge1 Ge 0.000 0.000 0.000 1
H1 H 0.003 0.750 0.125 1
Se1 Se 0.000 0.000 0.500 1
```


Question: Which value of total moment does entry 2 give?
Answer: 0.0 μB per formula unit


Copy entry 1 word for word.
A relaxed structure of Dy4HC2S, computed with PBE-GGA.

Properties
Total DFT energy (no corrections), eV per atom: -6.21
Total moment, μB per formula unit: 0.0

```
data_Dy4HC2S
_space_group_name_H-M_alt 'F m m 2'
_space_group_IT_number 42
_space_group_name_Hall 'F 2 -2'
_cell_length_a 7.394
_cell_length_b 10.214
_cell_length_c 7.394
_cell_angle_alpha 90.00
_cell_angle_beta 90.00
_cell_angle_gamma 90.00
loop_
_atom_site_label
_atom_site_type_symbol
_atom_site_fract_x
_atom_site_fract_y
_atom_site_fract_z
_atom_site_occupancy
Dy1 Dy 0.000 0.246 0.000 1
Dy2 Dy 0.250 0.000 0.250 1
H1 H 0.000 0.000 0.999 1
C1 C 0.250 0.250 0.250 1
S1 S 0.000 0.000 0.500 1
```


Question: Which formula does entry 2 have?
Answer: GeH2Se